# 1
Compound: As3Pb12Se5
Source: Alexandria
Functional: GGA-PBE
Structure: relaxed

POSCAR file:
```
As3Pb12Se5
1.0
15.3611 0.0000 0.0000
-5.1204 14.4826 0.0000
-5.1204 -7.2413 12.5423
As Se Pb
12 20 48
direct
0.7500 0.3750 0.1250
0.8750 0.7500 0.1250
0.3750 0.7500 0.6250
0.2500 0.1250 0.3750
0.8750 0.1250 0.2500
0.3750 0.6250 0.2500
0.6250 0.3750 0.7500
0.1250 0.8750 0.7500
0.7500 0.8750 0.6250
0.6250 0.2500 0.3750
0.1250 0.2500 0.8750
0.2500 0.6250 0.8750
0.1250 0.3750 0.2500
0.0000 0.5000 0.0000
0.0000 0.0000 0.0000
0.3750 0.2500 0.1250
0.5000 0.0000 0.5000
0.5000 0.5000 0.0000
0.1250 0.7500 0.3750
0.7500 0.1250 0.8750
0.7500 0.6250 0.3750
0.3750 0.1250 0.7500
0.6250 0.8750 0.2500
0.5000 0.5000 0.5000
0.5000 0.0000 0.0000
0.0000 0.0000 0.5000
0.2500 0.3750 0.6250
0.2500 0.8750 0.1250
0.0000 0.5000 0.5000
0.8750 0.2500 0.6250
0.6250 0.7500 0.8750
0.8750 0.6250 0.7500
0.7335 0.1357 0.0634
0.3299 0.5634 0.4277
0.9366 0.3643 0.2665
0.5634 0.2335 0.1357
0.5978 0.7335 0.6701
0.9366 0.5723 0.1701
0.3299 0.7665 0.4022
0.0723 0.9022 0.1357
0.5723 0.9366 0.6701
0.7335 0.5978 0.1701
0.7665 0.4366 0.3643
0.8299 0.9277 0.0634
0.1357 0.7335 0.5634
0.3643 0.4277 0.0978
0.0978 0.9277 0.3643
0.4022 0.1357 0.5723
0.0978 0.1701 0.2335
0.4366 0.6701 0.0723
0.8299 0.9022 0.2665
0.1357 0.4022 0.0723
0.3643 0.9366 0.7665
0.5723 0.6357 0.4022
0.9277 0.8299 0.5634
0.7665 0.3299 0.9022
0.4277 0.3643 0.5978
0.0723 0.1701 0.4366
0.2335 0.6701 0.0978
0.1701 0.0978 0.7335
0.6357 0.0634 0.2335
0.8643 0.5978 0.9277
0.5634 0.3299 0.9277
0.5978 0.8643 0.4277
0.9022 0.8299 0.7665
0.9022 0.0723 0.6357
0.8643 0.2665 0.4366
0.1701 0.0723 0.9366
0.6357 0.5723 0.9022
0.4277 0.0634 0.3299
0.2665 0.4022 0.8299
0.2335 0.5634 0.6357
0.9277 0.0978 0.8643
0.6701 0.2335 0.5978
0.4366 0.7665 0.8643
0.0634 0.4277 0.8299
0.4022 0.2665 0.3299
0.0634 0.6357 0.7335
0.6701 0.4366 0.5723
0.2665 0.8643 0.9366
```

**Raw formation energy**: -43 meV per atom


# 2
Compound: NpO2F2
Source: Alexandria
Functional: GGA-PBE
Structure: relaxed

POSCAR file:
```
NpO2F2
1.0
-4.3107 4.2521 0.7854
-3.0171 2.7800 4.5219
-0.6499 5.5683 2.4187
Np O F
1 2 2
direct
0.0000 0.0000 0.0000
0.8946 0.8946 0.8946
0.1054 0.1054 0.1054
0.3341 0.3341 0.3341
0.6659 0.6659 0.6659
```

**Raw formation energy**: -2952 meV per atom
**E above lowest polymorph**: 0.00 eV/f.u.


# 3
Compound: Sc5AlFe
Source: Alexandria
Functional: GGA-PBE
Structure: relaxed

POSCAR file:
```
Sc5AlFe
1.0
-0.9327 1.9276 -4.8463
3.2991 -3.1292 -2.7195
-6.8166 -7.4801 -4.2221
Sc Al Fe
10 2 2
direct
0.9140 0.5944 0.1202
0.1980 0.5283 0.5733
0.5944 0.9140 0.6202
0.9714 0.0286 0.2500
0.4717 0.8020 0.9267
0.5283 0.1980 0.0733
0.0286 0.9714 0.7500
0.4056 0.0860 0.3798
0.8020 0.4717 0.4267
0.0860 0.4056 0.8798
0.3767 0.6233 0.2500
0.6233 0.3767 0.7500
0.0000 0.0000 0.0000
0.0000 0.0000 0.5000
```

**E_form**: -0.039 eV/atom


# 4
Compound: NaHf3Os
Source: Alexandria
Functional: GGA-PBE
Structure: relaxed

POSCAR file:
```
NaHf3Os
1.0
-0.8940 1.3144 4.8466
-4.6531 -2.0681 -0.2974
1.8884 -4.4734 1.5616
Hf Os Na
3 1 1
direct
0.0000 0.5000 0.0000
0.0000 0.0000 0.5000
0.5000 0.0000 0.0000
0.0000 0.0000 0.0000
0.5000 0.5000 0.5000
```

**E_form**: 0.453 eV/atom
**E above lowest polymorph**: 0.00 eV/f.u.


# 5
Compound: Sb3Mo
Source: Alexandria
Functional: GGA-PBE
Structure: relaxed

POSCAR file:
```
Sb3Mo
1.0
5.2772 0.0000 0.0000
0.0000 5.2772 0.0000
0.0000 0.0000 5.2772
Mo Sb
1 3
direct
0.0000 0.0000 0.0000
0.5000 0.0000 0.0000
0.0000 0.5000 0.0000
0.0000 0.0000 0.5000
```

**Raw formation energy**: 589 meV per atom
**E above lowest polymorph**: 1.72 eV/f.u.


# 6
Compound: Er4ThIn
Source: Alexandria
Functional: GGA-PBE
Structure: relaxed

POSCAR file:
```
Er4ThIn
1.0
5.2094 0.0000 -0.0012
-0.0001 5.2101 -0.0019
0.0042 0.0061 7.7224
Er Th In
4 1 1
direct
0.5014 0.9973 0.2365
0.5013 0.9975 0.7597
0.0014 0.4971 0.7598
0.0012 0.4973 0.2367
0.0014 0.9970 0.4980
0.5012 0.4975 0.9982
```

**E_form**: 0.420 eV/atom
**E above lowest polymorph**: 3.37 eV/f.u.